Ba2ScAs | PBE | optimized geometry

Unit cell a=10.200 b=10.200 c=10.200 alpha=158.27 beta=157.19 gamma=31.71
Sites, in units of the cell vectors:
Ba 0.155 0.155 0.000
Ba 0.845 0.845 0.000
Sc 0.500 0.000 0.500
As 0.000 0.500 0.500

Summary:
Its space group is Immm, No. 71.

BaNa3 | PBE | optimized geometry

Unit cell a=10.030 b=10.030 c=12.385 alpha=90.00 beta=90.00 gamma=120.00
Sites, in units of the cell vectors:
Ba 0.000 0.405 0.000
Ba 0.000 0.595 0.500
Ba 0.405 0.000 0.000
Ba 0.405 0.405 0.500
Ba 0.595 0.000 0.500
Ba 0.595 0.595 0.000
Na 0.000 0.000 0.490
Na 0.000 0.000 0.990
Na 0.000 0.270 0.669
Na 0.000 0.280 0.328
Na 0.000 0.720 0.828
Na 0.000 0.730 0.169
Na 0.270 0.000 0.669
Na 0.270 0.270 0.169
Na 0.280 0.000 0.328
Na 0.280 0.280 0.828
Na 0.333 0.667 0.249
Na 0.333 0.667 0.749
Na 0.667 0.333 0.249
Na 0.667 0.333 0.749
Na 0.720 0.000 0.828
Na 0.720 0.720 0.328
Na 0.730 0.000 0.169
Na 0.730 0.730 0.669

Summary:
Its space group is P6_3cm, No. 185.

NdTm2Tl2Ag2 | PBE | optimized geometry

Unit cell a=9.123 b=9.123 c=9.123 alpha=31.22 beta=31.22 gamma=31.22
Sites, in units of the cell vectors:
Nd 0.000 0.000 0.000
Tm 0.133 0.133 0.133
Tm 0.867 0.867 0.867
Tl 0.263 0.263 0.263
Tl 0.737 0.737 0.737
Ag 0.439 0.439 0.439
Ag 0.561 0.561 0.561

Summary:
Its space group is R-3m, No. 166.

ZrIrRu2 | PBE | optimized geometry

Unit cell a=4.521 b=4.521 c=4.521 alpha=60.00 beta=60.00 gamma=60.00
Sites, in units of the cell vectors:
Zr 0.000 0.000 0.000
Ir 0.750 0.750 0.750
Ru 0.250 0.250 0.250
Ru 0.500 0.500 0.500

Summary:
Its space group is F-43m, No. 216.

ErAlNi5Ge2 | PBE | optimized geometry

Unit cell a=4.144 b=4.144 c=7.780 alpha=90.00 beta=90.00 gamma=90.00
Sites, in units of the cell vectors:
Er 0.000 0.000 0.000
Al 0.000 0.000 0.500
Ni 0.000 0.500 0.226
Ni 0.000 0.500 0.774
Ni 0.500 0.000 0.226
Ni 0.500 0.000 0.774
Ni 0.500 0.500 0.000
Ge 0.500 0.500 0.347
Ge 0.500 0.500 0.653

Summary:
Its space group is P4/mmm, No. 123.

Mg5AgPd3 | PBE | optimized geometry

Unit cell a=8.025 b=8.025 c=5.648 alpha=90.00 beta=90.00 gamma=120.00
Sites, in units of the cell vectors:
Mg 0.000 0.303 0.250
Mg 0.000 0.697 0.750
Mg 0.303 0.000 0.250
Mg 0.303 0.303 0.750
Mg 0.333 0.667 0.000
Mg 0.333 0.667 0.500
Mg 0.667 0.333 0.000
Mg 0.667 0.333 0.500
Mg 0.697 0.000 0.750
Mg 0.697 0.697 0.250
Ag 0.000 0.000 0.000
Ag 0.000 0.000 0.500
Pd 0.000 0.367 0.750
Pd 0.000 0.633 0.250
Pd 0.367 0.000 0.750
Pd 0.367 0.367 0.250
Pd 0.633 0.000 0.250
Pd 0.633 0.633 0.750

Summary:
Its space group is P6_3/mcm, No. 193.

no.,final energy (eV/atom),calculated volume (Å³/cell),energy of formation (kJ/mol of atoms)
1,-4.18,152.2,-46.1
2,-1.44,1079.1,2.5
3,-3.64,181.0,-17.9
4,-9.00,65.3,-0.8
5,-5.33,133.6,-16.0
6,-3.44,315.1,-48.9